1.
Material: SrGa2PdAu
Method: DFT, PBE
State: relaxed Values from VASP.

## Properties
crystal system = tetragonal
raw total energy = -3.91 eV per atom
symmetry = No. 129

Cell and atoms, written as Quantum ESPRESSO input:
```
&SYSTEM
  ibrav = 0, nat = 10, ntyp = 4
/
ATOMIC_SPECIES
Sr 87.62 Sr.upf
Ga 69.72 Ga.upf
Pd 106.42 Pd.upf
Au 196.97 Au.upf
CELL_PARAMETERS angstrom
4.5199 0.0000 0.0000
0.0000 4.5199 0.0000
0.0000 0.0000 10.4148
ATOMIC_POSITIONS angstrom
Sr 1.1300 1.1300 2.5390
Sr 3.3899 3.3899 7.8758
Ga 1.1300 1.1300 9.2565
Ga 1.1300 3.3899 5.2074
Ga 3.3899 1.1300 5.2074
Ga 3.3899 3.3899 1.1583
Pd 1.1300 3.3899 0.0000
Pd 3.3899 1.1300 0.0000
Au 1.1300 1.1300 6.6473
Au 3.3899 3.3899 3.7674
```

---

2.
Material: Pr3Tl5
Method: DFT, PBE
State: relaxed Values from VASP.

## Properties
crystal system = orthorhombic
raw total energy = -3.65 eV per atom
symmetry = No. 63

Cell and atoms, written as Quantum ESPRESSO input:
```
&SYSTEM
  ibrav = 0, nat = 16, ntyp = 2
/
ATOMIC_SPECIES
Pr 140.91 Pr.upf
Tl 204.38 Tl.upf
CELL_PARAMETERS angstrom
5.1725 -4.1723 0.0000
5.1725 4.1723 0.0000
0.0000 0.0000 10.6671
ATOMIC_POSITIONS angstrom
Pr 5.1725 3.1546 8.0003
Pr 3.0636 0.0000 0.0000
Pr 3.0636 0.0000 5.3335
Pr 7.2813 0.0000 0.0000
Pr 7.2813 0.0000 5.3335
Pr 5.1725 -3.1546 2.6668
Tl 2.2548 1.7484 8.0003
Tl 5.1725 2.5539 0.4567
Tl 5.1725 2.5539 4.8768
Tl 2.2548 -1.7484 2.6668
Tl 5.1725 0.0612 2.6668
Tl 5.1725 -0.0612 8.0003
Tl 8.0901 1.7484 8.0003
Tl 5.1725 -2.5539 5.7903
Tl 5.1725 -2.5539 10.2104
Tl 8.0901 -1.7484 2.6668
```

---

3.
Material: SmErB2Ir2N2
Method: DFT, PBE
State: relaxed Values from VASP.

## Properties
crystal system = tetragonal
raw total energy = -8.26 eV per atom
symmetry = No. 99

Cell and atoms, written as Quantum ESPRESSO input:
```
&SYSTEM
  ibrav = 0, nat = 8, ntyp = 5
/
ATOMIC_SPECIES
Sm 150.36 Sm.upf
Er 167.26 Er.upf
B 10.81 B.upf
Ir 192.22 Ir.upf
N 14.01 N.upf
CELL_PARAMETERS angstrom
3.7542 0.0000 0.0000
0.0000 3.7542 0.0000
0.0000 0.0000 7.4816
ATOMIC_POSITIONS angstrom
Sm 0.0000 0.0000 0.0000
Er 1.8771 1.8771 2.4414
B 0.0000 0.0000 3.8143
B 1.8771 1.8771 6.1381
Ir 0.0000 1.8771 4.9545
Ir 1.8771 0.0000 4.9545
N 0.0000 0.0000 2.3269
N 1.8771 1.8771 0.1612
```

---

4.
Material: KHgBiS3
Method: DFT, PBE
State: relaxed Values from VASP.

## Properties
crystal system = orthorhombic
raw total energy = -3.49 eV per atom
symmetry = No. 63

Cell and atoms, written as Quantum ESPRESSO input:
```
&SYSTEM
  ibrav = 0, nat = 12, ntyp = 4
/
ATOMIC_SPECIES
K 39.10 K.upf
Hg 200.59 Hg.upf
Bi 208.98 Bi.upf
S 32.06 S.upf
CELL_PARAMETERS angstrom
2.1095 -7.2353 0.0000
2.1095 7.2353 0.0000
0.0000 0.0000 10.9824
ATOMIC_POSITIONS angstrom
K 2.1095 3.8863 8.2368
K 2.1095 -3.8863 2.7456
Hg 2.1095 6.4020 2.7456
Hg 2.1095 -6.4020 8.2368
Bi 2.1095 0.0000 0.0000
Bi 2.1095 0.0000 5.4912
S 2.1095 5.3414 0.4797
S 2.1095 5.3414 5.0115
S 2.1095 0.8982 2.7456
S 2.1095 -0.8982 8.2368
S 2.1095 -5.3414 5.9709
S 2.1095 -5.3414 10.5027
```

---

5.
Material: BAuS2
Method: DFT, PBE
State: relaxed Values from VASP.

## Properties
crystal system = tetragonal
raw total energy = -4.61 eV per atom
symmetry = No. 122

Cell and atoms, written as Quantum ESPRESSO input:
```
&SYSTEM
  ibrav = 0, nat = 8, ntyp = 3
/
ATOMIC_SPECIES
B 10.81 B.upf
Au 196.97 Au.upf
S 32.06 S.upf
CELL_PARAMETERS angstrom
-2.6838 2.6838 4.5023
2.6838 -2.6838 4.5023
2.6838 2.6838 -4.5023
ATOMIC_POSITIONS angstrom
B 0.0000 0.0000 0.0000
B 0.0000 2.6838 2.2512
Au 2.6838 0.0000 2.2512
Au 0.0000 0.0000 4.5023
S 1.3419 0.8815 -1.1256
S 1.8023 -1.3419 5.6279
S 1.3419 1.8023 3.3767
S 0.8815 4.0257 1.1256
```

---

6.
Material: LiScFeBi
Method: DFT, PBE
State: relaxed Values from VASP.

## Properties
crystal system = cubic
raw total energy = -5.29 eV per atom
symmetry = No. 216

Cell and atoms, written as Quantum ESPRESSO input:
```
&SYSTEM
  ibrav = 0, nat = 4, ntyp = 4
/
ATOMIC_SPECIES
Li 6.94 Li.upf
Sc 44.96 Sc.upf
Fe 55.84 Fe.upf
Bi 208.98 Bi.upf
CELL_PARAMETERS angstrom
0.0000 3.2275 3.2275
3.2275 0.0000 3.2275
3.2275 3.2275 0.0000
ATOMIC_POSITIONS angstrom
Li 0.0000 0.0000 0.0000
Sc 4.8413 4.8413 4.8413
Fe 3.2275 3.2275 3.2275
Bi 1.6138 1.6138 1.6138
```